Material: BaSrGaPb
Method: DFT, GGA-PBE
State: relaxed

Unit cell a=5.854 b=5.854 c=5.854 alpha=60.00 beta=60.00 gamma=60.00
Atoms (fractional coordinates):
Pb 0.750 0.750 0.750
Sr 0.500 0.500 0.500
Ba 0.000 0.000 0.000
Ga 0.250 0.250 0.250

Output
**Calculated total energy**: -2.990 eV per atom
**Formation enthalpy at 0 K**: -156 kJ/mol of formula units
**SG**: F-43m
**Calculated volume**: 35.5 Å³ per atom

Material: Dy5Tm2Th6
Method: DFT, GGA-PBE
State: relaxed

Unit cell a=3.515 b=11.732 c=20.438 alpha=90.00 beta=90.00 gamma=90.00
Atoms (fractional coordinates):
Dy 0.500 0.295 0.436
Dy 0.500 0.705 0.564
Dy 0.500 0.795 0.064
Dy 0.500 0.205 0.936
Dy 0.500 0.583 0.280
Dy 0.500 0.417 0.720
Dy 0.500 0.083 0.220
Dy 0.500 0.917 0.780
Dy 0.500 0.500 0.000
Dy 0.500 0.000 0.500
Tm 0.000 0.325 0.276
Tm 0.000 0.675 0.724
Tm 0.000 0.825 0.224
Tm 0.000 0.175 0.776
Th 0.000 0.059 0.360
Th 0.000 0.941 0.640
Th 0.000 0.559 0.140
Th 0.000 0.441 0.860
Th 0.500 0.303 0.121
Th 0.500 0.697 0.879
Th 0.500 0.803 0.379
Th 0.500 0.197 0.621
Th 0.000 0.566 0.429
Th 0.000 0.434 0.571
Th 0.000 0.066 0.071
Th 0.000 0.934 0.929

Output
**Calculated total energy**: -5.735 eV per atom
**Formation enthalpy at 0 K**: 186 kJ/mol of formula units
**SG**: Pbam
**Calculated volume**: 32.4 Å³ per atom

Material: Dy5Er4Sc2
Method: DFT, GGA-PBE
State: relaxed

Unit cell a=3.450 b=8.600 c=11.261 alpha=86.19 beta=90.00 gamma=90.00
Atoms (fractional coordinates):
Dy 0.000 0.428 0.301
Dy 0.000 0.808 0.165
Dy 0.000 0.500 0.000
Dy 0.000 0.192 0.835
Dy 0.000 0.572 0.699
Er 0.500 0.271 0.554
Er 0.500 0.840 0.882
Er 0.500 0.729 0.446
Er 0.500 0.160 0.118
Sc 0.000 0.943 0.633
Sc 0.000 0.057 0.367

Output
**Calculated total energy**: -4.812 eV per atom
**Formation enthalpy at 0 K**: 96 kJ/mol of formula units
**SG**: P2/m
**Excess energy over the best structure of this formula in the dataset**: 0.0000 eV/atom
**Calculated volume**: 30.3 Å³ per atom

Material: MoIr2Os
Method: DFT, GGA-PBE
State: relaxed

Unit cell a=4.762 b=4.762 c=4.792 alpha=80.69 beta=80.69 gamma=33.44
Atoms (fractional coordinates):
Ir 0.997 0.997 0.011
Ir 0.752 0.752 0.746
Mo 0.500 0.500 0.503
Os 0.251 0.251 0.240

Output
**Calculated total energy**: -10.037 eV per atom
**Formation enthalpy at 0 K**: -35 kJ/mol of formula units
**SG**: Cm
**Excess energy over the best structure of this formula in the dataset**: 0.1366 eV/atom
**Calculated volume**: 14.8 Å³ per atom

Material: DyY2Ti
Method: DFT, GGA-PBE
State: relaxed

Unit cell a=3.407 b=3.407 c=9.588 alpha=90.00 beta=90.00 gamma=90.00
Atoms (fractional coordinates):
Y 0.000 0.000 0.780
Y 0.000 0.000 0.220
Ti 0.500 0.500 0.000
Dy 0.500 0.500 0.500

Output
**Calculated total energy**: -6.181 eV per atom
**Formation enthalpy at 0 K**: 68 kJ/mol of formula units
**SG**: P4/mmm
**Calculated volume**: 27.8 Å³ per atom

Material: TcW2N
Method: DFT, GGA-PBE
State: relaxed

Unit cell a=2.863 b=2.863 c=7.529 alpha=79.04 beta=79.04 gamma=60.00
Atoms (fractional coordinates):
Tc 0.000 0.000 0.000
W 0.769 0.769 0.694
W 0.231 0.231 0.306
N 0.500 0.500 0.500

Output
**Calculated total energy**: -11.052 eV per atom
**SG**: R-3m
**Excess energy over the best structure of this formula in the dataset**: 0.0925 eV/atom
**Raw formation energy**: 0.10 eV/atom
**Calculated volume**: 13.0 Å³ per atom

Material: TaTlAs2
Method: DFT, GGA-PBE
State: relaxed

Unit cell a=6.585 b=6.585 c=6.585 alpha=154.90 beta=131.10 gamma=55.74
Atoms (fractional coordinates):
Tl 0.250 0.750 0.500
As 0.946 0.946 0.000
As 0.554 0.554 0.000
Ta 0.750 0.250 0.500

Output
**Calculated total energy**: -5.646 eV per atom
**Formation enthalpy at 0 K**: 90 kJ/mol of formula units
**SG**: Immm
**Excess energy over the best structure of this formula in the dataset**: 0.3746 eV/atom
**Calculated volume**: 22.7 Å³ per atom

Material: Ho5Al4Pd
Method: DFT, GGA-PBE
State: relaxed

Unit cell a=3.569 b=3.569 c=17.785 alpha=90.00 beta=90.00 gamma=90.00
Atoms (fractional coordinates):
Ho 0.500 0.500 0.094
Ho 0.500 0.500 0.298
Ho 0.500 0.500 0.500
Ho 0.500 0.500 0.702
Ho 0.500 0.500 0.906
Al 0.000 0.000 0.197
Al 0.000 0.000 0.399
Al 0.000 0.000 0.601
Al 0.000 0.000 0.803
Pd 0.000 0.000 0.000

Output
**Calculated total energy**: -4.806 eV per atom
**Formation enthalpy at 0 K**: -483 kJ/mol of formula units
**SG**: P4/mmm
**Calculated volume**: 22.7 Å³ per atom

Material: K2TlIn3Br6
Method: DFT, GGA-PBE
State: relaxed

Unit cell a=4.731 b=9.472 c=10.608 alpha=102.93 beta=102.88 gamma=90.00
Atoms (fractional coordinates):
K 0.833 0.666 0.666
K 0.167 0.334 0.334
Tl 0.500 0.000 0.000
In 0.500 0.500 0.000
In 0.832 0.167 0.664
In 0.168 0.833 0.336
Br 0.332 0.912 0.665
Br 0.667 0.581 0.334
Br 0.668 0.088 0.335
Br 0.002 0.254 0.004
Br 0.998 0.746 0.996
Br 0.333 0.419 0.666

Output
**Calculated total energy**: -2.949 eV per atom
**SG**: C2/m
**Raw formation energy**: -1.05 eV/atom
**Calculated volume**: 37.6 Å³ per atom

Material: AlZn
Method: DFT, GGA-PBE
State: relaxed

Unit cell a=7.200 b=7.200 c=7.200 alpha=90.00 beta=90.00 gamma=90.00
Atoms (fractional coordinates):
Al 0.250 0.000 0.500
Al 0.750 0.000 0.500
Al 0.000 0.500 0.250
Al 0.000 0.500 0.750
Al 0.500 0.250 0.000
Al 0.500 0.750 0.000
Zn 0.250 0.500 0.000
Zn 0.750 0.500 0.000
Zn 0.500 0.000 0.250
Zn 0.500 0.000 0.750
Zn 0.000 0.250 0.500
Zn 0.000 0.750 0.500

Output
**Calculated total energy**: -1.810 eV per atom
**Formation enthalpy at 0 K**: 135 kJ/mol of formula units
**SG**: Pm-3n
**Calculated volume**: 31.1 Å³ per atom

Material: LiLaPmSn
Method: DFT, GGA-PBE
State: relaxed

Unit cell a=5.434 b=5.434 c=5.434 alpha=60.00 beta=60.00 gamma=60.00
Atoms (fractional coordinates):
La 0.750 0.750 0.750
Li 0.000 0.000 0.000
Sn 0.500 0.500 0.500
Pm 0.250 0.250 0.250

Output
**Calculated total energy**: -4.347 eV per atom
**Formation enthalpy at 0 K**: -173 kJ/mol of formula units
**SG**: F-43m
**Calculated volume**: 28.4 Å³ per atom

Material: Ba3ZnPd
Method: DFT, GGA-PBE
State: relaxed

Unit cell a=4.551 b=9.867 c=9.191 alpha=111.16 beta=90.00 gamma=90.00
Atoms (fractional coordinates):
Ba 0.250 0.608 0.376
Ba 0.750 0.392 0.624
Ba 0.250 0.069 0.695
Ba 0.750 0.235 0.117
Ba 0.750 0.931 0.305
Ba 0.250 0.765 0.883
Zn 0.750 0.562 0.038
Zn 0.250 0.438 0.962
Pd 0.750 0.806 0.616
Pd 0.250 0.194 0.384

Output
**Calculated total energy**: -2.734 eV per atom
**Formation enthalpy at 0 K**: -138 kJ/mol of formula units
**SG**: P2_1/m
**Excess energy over the best structure of this formula in the dataset**: 0.0000 eV/atom
**Calculated volume**: 38.5 Å³ per atom

| no. | density of states at the Fermi level (states/eV per atom) |
| --- | --- |
| 1 | 0.926 |
| 2 | 1.615 |
| 3 | 1.609 |
| 4 | 0.969 |
| 5 | 1.641 |
| 6 | 0.604 |
| 7 | 0.606 |
| 8 | 0.355 |
| 9 | 0.000 |
| 10 | 0.850 |
| 11 | 0.758 |
| 12 | 0.781 |